PCl5: optimized geometry, GGA-PBE.

The space group is P4/n (No. 85, origin choice 2) and the conventional cell measures 9.7612, 9.7612 and 7.6737 Å, with angles of 90.00, 90.00 and 90.00 degrees. The distinct sites, in fractional coordinates, are P at (0.2500, 0.2500, 0.0951), P at (0.2500, 0.7500, 0.5000), Cl at (0.0417, 0.3261, 0.0906), Cl at (0.0881, 0.7237, 0.3527), Cl at (0.2500, 0.2500, 0.3754) and Cl at (0.2500, 0.2500, 0.8057).

The value obtained for the theoretical density is 1.89 g/cm3. For the total energy, the calculation gives -72.32 eV per cell. As for the crystal system: tetragonal. The formation energy without anion corrections comes out at -0.5729 eV per atom.

***

RbGa2SnS6: optimized geometry, GGA-PBE.

The space group is C2/c (No. 15) and the conventional cell measures 13.6839, 12.4897 and 7.9783 Å, with angles of 90.00, 123.16 and 90.00 degrees. The distinct sites, in fractional coordinates, are Rb at (0.0000, 0.1855, 0.2500), Ga at (0.1846, 0.4286, 0.0744), Sn at (0.0000, 0.1651, 0.7500), S at (0.1136, 0.4609, 0.3048), S at (0.1214, 0.0483, 0.6857) and S at (0.1420, 0.2509, 0.0611).

The value obtained for the theoretical density is 3.12 g/cm3. For the total energy, the calculation gives -163.54 eV per cell. As for the crystal system: monoclinic. The formation energy without anion corrections comes out at -0.5096 eV per atom.

***

CsZrHg2I8: optimized geometry, GGA-PBE.

The space group is P-1 (No. 2) and the conventional cell measures 7.6366, 8.3361 and 10.1243 Å, with angles of 70.10, 83.59 and 88.34 degrees. The distinct sites, in fractional coordinates, are Cs at (0.0000, 0.0000, 0.0000), Zr at (0.0000, 0.5000, 0.5000), Hg at (0.4660, 0.5311, 0.7983), I at (0.0815, 0.5006, 0.7764), I at (0.1725, 0.8214, 0.3700), I at (0.3245, 0.3196, 0.4687) and I at (0.4726, 0.7748, 0.9616).

The value obtained for the theoretical density is 4.52 g/cm3. For the total energy, the calculation gives -30.76 eV per cell. As for the crystal system: triclinic. The formation energy without anion corrections comes out at -0.6963 eV per atom.

***

ScCd2Fe: optimized geometry, GGA-PBE.

The space group is R-3m (No. 166, hexagonal axes) and the conventional cell measures 3.0615, 3.0615 and 28.9784 Å, with angles of 90.00, 90.00 and 120.00 degrees. The distinct sites, in fractional coordinates, are Sc at (0.0000, 0.0000, 0.0000), Cd at (0.0000, 0.0000, 0.2434) and Fe at (0.0000, 0.0000, 0.5000).

The value obtained for the theoretical density is 6.90 g/cm3. For the total energy, the calculation gives -47.08 eV per cell. As for the crystal system: trigonal. The value obtained for the formation energy is 232.5 meV/atom.

***

Hf2Zr2Co: optimized geometry, GGA-PBE.

The space group is P4/mbm (No. 127) and the conventional cell measures 6.5493, 6.5493 and 4.9124 Å, with angles of 90.00, 90.00 and 90.00 degrees. The distinct sites, in fractional coordinates, are Hf at (0.1587, 0.3413, 0.0000), Zr at (0.1566, 0.6566, 0.5000) and Co at (0.0000, 0.0000, 0.0000).

The value obtained for the theoretical density is 9.43 g/cm3. For the total energy, the calculation gives -87.60 eV per cell. The calculation puts the relative energy among the computed polymorphs at 0.516 eV/f.u. As for the crystal system: tetragonal. The value obtained for the formation energy is 61.5 meV/atom.

***

NaBr: optimized geometry, GGA-PBE.

The space group is I-43m (No. 217) and the conventional cell measures 9.0245, 9.0245 and 9.0245 Å, with angles of 90.00, 90.00 and 90.00 degrees. The distinct sites, in fractional coordinates, are Na at (0.1545, 0.1545, 0.1545) and Br at (0.1660, 0.1660, 0.8340).

The value obtained for the theoretical density is 1.86 g/cm3. For the total energy, the calculation gives -47.52 eV per cell. As for the crystal system: cubic. The formation energy without anion corrections comes out at -1.4741 eV per atom.

***

AlCoW2: optimized geometry, GGA-PBE.

The space group is Pmmm (No. 47) and the conventional cell measures 3.1733, 4.2013 and 4.3096 Å, with angles of 90.00, 90.00 and 90.00 degrees. The distinct sites, in fractional coordinates, are Al at (0.0000, 0.0000, 0.0000), Co at (0.5000, 0.5000, 0.0000), W at (0.0000, 0.5000, 0.5000) and W at (0.5000, 0.0000, 0.5000).

The value obtained for the theoretical density is 13.11 g/cm3. For the total energy, the calculation gives -36.76 eV per cell. As for the crystal system: orthorhombic. The value obtained for the formation energy is -0.6 meV/atom.

***

LiCd2Ag: optimized geometry, GGA-PBE.

The space group is Imm2 (No. 44) and the conventional cell measures 4.1425, 4.1619 and 8.7768 Å, with angles of 90.00, 90.00 and 90.00 degrees. The distinct sites, in fractional coordinates, are Li at (0.0000, 0.0000, 0.0000), Cd at (0.0000, 0.0000, 0.4997), Cd at (0.0000, 0.5000, 0.2500) and Ag at (0.0000, 0.5000, 0.7495).

The value obtained for the theoretical density is 7.45 g/cm3. For the total energy, the calculation gives -14.68 eV per cell. The calculation puts the relative energy among the computed polymorphs at 0.055 eV/f.u. As for the crystal system: orthorhombic. The value obtained for the formation energy is -186.6 meV/atom.

***

KSb2SeS2: optimized geometry, GGA-PBE.

The space group is P2_1/m (No. 11) and the conventional cell measures 6.4035, 7.3874 and 9.3351 Å, with angles of 90.00, 96.75 and 90.00 degrees. The distinct sites, in fractional coordinates, are K at (0.2098, 0.2500, 0.3629), Sb at (0.2729, 0.5083, 0.9011), Se at (0.3607, 0.2500, 0.7177), S at (0.0391, 0.2500, 0.0253) and S at (0.3095, 0.7500, 0.7026).

The value obtained for the theoretical density is 3.22 g/cm3. For the total energy, the calculation gives -47.06 eV per cell. As for the crystal system: monoclinic. The formation energy without anion corrections comes out at -0.4081 eV per atom.

***

Tm2Ga4Ni3Pt: optimized geometry, GGA-PBE.

The space group is P-4m2 (No. 115) and the conventional cell measures 3.9531, 3.9531 and 10.5975 Å, with angles of 90.00, 90.00 and 90.00 degrees. The distinct sites, in fractional coordinates, are Tm at (0.0000, 0.5000, 0.2379), Ga at (0.0000, 0.0000, 0.0000), Ga at (0.0000, 0.5000, 0.6421), Ga at (0.5000, 0.5000, 0.0000), Ni at (0.0000, 0.5000, 0.8637), Ni at (0.5000, 0.5000, 0.5000) and Pt at (0.0000, 0.0000, 0.5000).

The value obtained for the theoretical density is 9.91 g/cm3. For the total energy, the calculation gives -51.12 eV per cell. As for the crystal system: tetragonal. The value obtained for the formation energy is -668.3 meV/atom.

***

Nb2NF: optimized geometry, GGA-PBE.

The space group is Fm-3m (No. 225) and the conventional cell measures 5.7106, 5.7106 and 5.7106 Å, with angles of 90.00, 90.00 and 90.00 degrees. The distinct sites, in fractional coordinates, are Nb at (0.2500, 0.2500, 0.2500), N at (0.0000, 0.0000, 0.0000) and F at (0.0000, 0.0000, 0.5000).

The value obtained for the theoretical density is 7.80 g/cm3. For the total energy, the calculation gives -127.75 eV per cell. The calculation puts the relative energy among the computed polymorphs at 0.938 eV/f.u. As for the crystal system: cubic. The formation energy without anion corrections comes out at -0.4001 eV per atom.

***

SmErNb: optimized geometry, GGA-PBE.

The space group is Cmcm (No. 63) and the conventional cell measures 3.4611, 27.3353 and 3.5037 Å, with angles of 90.00, 90.00 and 90.00 degrees. The distinct sites, in fractional coordinates, are Sm at (0.0000, 0.1485, 0.2500), Er at (0.0000, 0.4464, 0.2500) and Nb at (0.0000, 0.2736, 0.2500).

The value obtained for the theoretical density is 8.23 g/cm3. For the total energy, the calculation gives -74.74 eV per cell. As for the crystal system: orthorhombic. The value obtained for the formation energy is 222.4 meV/atom.